<one>
Compound: La6RhAu3
Source: the Alexandria database
Functional: PBE-GGA
Structure: optimized geometry

a b c (Å): 4.080 11.446 13.907
angles (deg): 111.41 90.00 90.00
Fractional positions:
La 0.750 0.476 0.622
La 0.250 0.524 0.378
La 0.750 0.859 0.114
La 0.250 0.141 0.886
La 0.750 0.426 0.103
La 0.250 0.574 0.897
La 0.750 0.751 0.325
La 0.250 0.249 0.675
La 0.750 0.088 0.419
La 0.250 0.912 0.581
La 0.750 0.827 0.787
La 0.250 0.173 0.213
Rh 0.750 0.060 0.722
Rh 0.250 0.940 0.278
Au 0.750 0.357 0.857
Au 0.250 0.643 0.143
Au 0.750 0.687 0.541
Au 0.250 0.313 0.459
Au 0.750 0.108 0.042
Au 0.250 0.892 0.958

Summary:
Total magnetic moment: 0.000 μB per atom

***

<two>
Compound: La6RhAu3
Source: the Alexandria database
Functional: PBE-GGA
Structure: optimized geometry

a b c (Å): 7.437 7.883 10.853
angles (deg): 90.00 84.70 90.00
Fractional positions:
La 0.695 0.173 0.932
La 0.648 0.183 0.583
La 0.665 0.448 0.252
La 0.335 0.552 0.748
La 0.352 0.817 0.417
La 0.305 0.827 0.068
La 0.195 0.327 0.432
La 0.148 0.317 0.083
La 0.165 0.052 0.752
La 0.835 0.948 0.248
La 0.852 0.683 0.917
La 0.805 0.673 0.568
Rh 0.500 0.500 0.500
Rh 0.000 0.000 0.000
Au 0.551 0.885 0.774
Au 0.500 0.500 0.000
Au 0.449 0.115 0.226
Au 0.051 0.615 0.274
Au 0.000 0.000 0.500
Au 0.949 0.385 0.726

Summary:
Total magnetic moment: 0.000 μB per atom

***

Going by the energies, <two> is most stable and the next is 32 meV per atom up.

***

<one>
Compound: LaSmRhAu
Source: the Alexandria database
Functional: PBE-GGA
Structure: optimized geometry

a b c (Å): 5.151 5.151 5.151
angles (deg): 60.00 60.00 60.00
Fractional positions:
Rh 0.500 0.500 0.500
Au 0.000 0.000 0.000
Sm 0.750 0.750 0.750
La 0.250 0.250 0.250

Summary:
Total magnetic moment: 0.000 μB per atom

***

<two>
Compound: LaSmRhAu
Source: the Alexandria database
Functional: PBE-GGA
Structure: optimized geometry

a b c (Å): 4.001 4.489 5.901
angles (deg): 90.00 109.82 90.00
Fractional positions:
La 0.866 0.500 0.731
Sm 0.143 0.000 0.287
Rh 0.406 0.000 0.812
Au 0.585 0.500 0.170

Summary:
Total magnetic moment: 0.000 μB per atom

***

Going by the energies, <two> is most stable and the next is 82 meV per atom up.

***

<one>
Compound: LaTbRhAu
Source: the Alexandria database
Functional: PBE-GGA
Structure: optimized geometry

a b c (Å): 5.113 5.113 5.113
angles (deg): 60.00 60.00 60.00
Fractional positions:
Tb 0.000 0.000 0.000
Au 0.250 0.250 0.250
Rh 0.750 0.750 0.750
La 0.500 0.500 0.500

Summary:
Total magnetic moment: 0.000 μB per atom

***

<two>
Compound: LaTbRhAu
Source: the Alexandria database
Functional: PBE-GGA
Structure: optimized geometry

a b c (Å): 3.926 4.732 5.598
angles (deg): 90.00 110.53 90.00
Fractional positions:
La 0.152 0.000 0.304
Tb 0.866 0.500 0.732
Rh 0.401 0.000 0.803
Au 0.580 0.500 0.160

Summary:
Total magnetic moment: 0.000 μB per atom

***

Going by the energies, <two> is most stable and the next is 87 meV per atom up.

***

<one>
Compound: LaRuAu
Source: the Alexandria database
Functional: PBE-GGA
Structure: optimized geometry

a b c (Å): 4.469 4.469 4.076
angles (deg): 90.00 90.00 120.00
Fractional positions:
La 0.667 0.333 0.000
Ru 0.000 0.000 0.500
Au 0.333 0.667 0.500

Summary:
Total magnetic moment: 0.000 μB per atom

***

<two>
Compound: LaRuAu
Source: the Alexandria database
Functional: PBE-GGA
Structure: optimized geometry

a b c (Å): 4.728 4.728 4.728
angles (deg): 60.00 60.00 60.00
Fractional positions:
Au 0.500 0.500 0.500
La 0.750 0.750 0.750
Ru 0.000 0.000 0.000

Summary:
Total magnetic moment: 0.000 μB per atom

***

<three>
Compound: LaRuAu
Source: the Alexandria database
Functional: PBE-GGA
Structure: optimized geometry

a b c (Å): 5.546 6.457 7.143
angles (deg): 90.00 90.00 90.00
Fractional positions:
La 0.000 0.250 0.589
La 0.000 0.750 0.411
La 0.500 0.750 0.089
La 0.500 0.250 0.911
Ru 0.250 0.250 0.250
Ru 0.250 0.750 0.750
Ru 0.750 0.750 0.750
Ru 0.750 0.250 0.250
Au 0.000 0.000 0.000
Au 0.000 0.500 0.000
Au 0.500 0.500 0.500
Au 0.500 0.000 0.500

Summary:
Total magnetic moment: 0.000 μB per atom

***

<four>
Compound: LaRuAu
Source: the Alexandria database
Functional: PBE-GGA
Structure: optimized geometry

a b c (Å): 4.655 4.655 4.655
angles (deg): 60.00 60.00 60.00
Fractional positions:
Au 0.000 0.000 0.000
La 0.500 0.500 0.500
Ru 0.750 0.750 0.750

Summary:
Total magnetic moment: 0.000 μB per atom

***

Going by the energies, <three> is most stable and the next is 152 meV per atom up.

***

<one>
Compound: LaRuAu
Source: the Alexandria database
Functional: PBE-GGA
Structure: optimized geometry

a b c (Å): 4.748 6.861 8.592
angles (deg): 90.00 90.00 90.00
Fractional positions:
La 0.724 0.000 0.250
La 0.776 0.000 0.750
La 0.276 0.500 0.250
La 0.224 0.500 0.750
Ru 0.000 0.250 0.039
Ru 0.000 0.750 0.461
Ru 0.500 0.250 0.961
Ru 0.500 0.750 0.539
Au 0.250 0.882 0.000
Au 0.250 0.118 0.500
Au 0.750 0.618 0.000
Au 0.750 0.382 0.500

Summary:
Total magnetic moment: 0.000 μB per atom

***

<two>
Compound: LaRuAu
Source: the Alexandria database
Functional: PBE-GGA
Structure: optimized geometry

a b c (Å): 5.521 5.522 3.643
angles (deg): 70.73 70.74 38.53
Fractional positions:
Au 0.021 0.021 0.979
La 0.327 0.327 0.673
Ru 0.652 0.652 0.348

Summary:
Total magnetic moment: 0.000 μB per atom

***

Going by the energies, <one> is most stable and the next is 282 meV per atom up.

***

<one>
Compound: LaRu3Au
Source: the Alexandria database
Functional: PBE-GGA
Structure: optimized geometry

a b c (Å): 4.908 4.908 4.908
angles (deg): 90.00 90.00 90.00
Last column: magnetic moment on the atom in μB.
Fractional positions:
Ru 0.000 0.500 0.000  1.41
Ru 0.000 0.000 0.500  1.88
Ru 0.500 0.000 0.000  0.90
Au 0.000 0.000 0.000  0.32
La 0.500 0.500 0.500  -0.08

Summary:
Total magnetic moment: 0.911 μB per atom

***

<two>
Compound: LaRu3Au
Source: the Alexandria database
Functional: PBE-GGA
Structure: optimized geometry

a b c (Å): 4.794 4.794 4.794
angles (deg): 90.00 90.00 90.00
Last column: magnetic moment on the atom in μB.
Fractional positions:
Ru 0.000 0.500 0.000  1.10
Ru 0.000 0.000 0.500  0.85
Ru 0.500 0.000 0.000  1.13
Au 0.500 0.500 0.500  0.03
La 0.000 0.000 0.000  -0.06

Summary:
Total magnetic moment: 0.616 μB per atom

***

Going by the energies, <one> is most stable and the next is 549 meV per atom up.

***

<one>
Compound: LaRuAu2
Source: the Alexandria database
Functional: PBE-GGA
Structure: optimized geometry

a b c (Å): 4.182 4.182 4.567
angles (deg): 89.99 89.99 90.00
Last column: magnetic moment on the atom in μB.
Fractional positions:
Au 0.000 0.000 0.000  0.00
Au 0.500 0.500 0.000  0.00
La 0.500 0.000 0.500  0.00
Ru 0.000 0.500 0.500  0.21

Summary:
Total magnetic moment: 0.056 μB per atom

***

<two>
Compound: LaRuAu2
Source: the Alexandria database
Functional: PBE-GGA
Structure: optimized geometry

a b c (Å): 5.275 5.275 4.360
angles (deg): 65.57 65.57 48.77
Last column: magnetic moment on the atom in μB.
Fractional positions:
Au 0.000 0.000 0.000  0.00
Au 0.750 0.750 0.750  0.00
La 0.500 0.500 0.500  0.00
Ru 0.250 0.250 0.250  0.21

Summary:
Total magnetic moment: 0.058 μB per atom

***

Going by the energies, <one> is most stable and the next is 92 meV per atom up.

***

<one>
Compound: LaRuAu2
Source: the Alexandria database
Functional: PBE-GGA
Structure: optimized geometry

a b c (Å): 3.911 3.951 5.854
angles (deg): 70.20 90.00 90.00
Fractional positions:
Au 0.000 0.791 0.040
Au 0.500 0.223 0.176
La 0.000 0.518 0.590
Ru 0.500 0.968 0.693

Summary:
Total magnetic moment: 0.000 μB per atom

***

<two>
Compound: LaRuAu2
Source: the Alexandria database
Functional: PBE-GGA
Structure: optimized geometry

a b c (Å): 3.995 3.995 11.029
angles (deg): 79.56 79.56 90.00
Fractional positions:
Ru 0.500 0.500 0.000
Ru 0.250 0.750 0.500
Au 0.608 0.125 0.250
Au 0.142 0.625 0.250
Au 0.375 0.392 0.750
Au 0.875 0.858 0.750
La 0.000 0.000 0.000
La 0.750 0.250 0.500

Summary:
Total magnetic moment: 0.000 μB per atom

***

<three>
Compound: LaRuAu2
Source: the Alexandria database
Functional: PBE-GGA
Structure: optimized geometry

a b c (Å): 4.879 4.879 4.879
angles (deg): 60.00 60.00 60.00
Fractional positions:
Au 0.000 0.000 0.000
Au 0.250 0.250 0.250
La 0.500 0.500 0.500
Ru 0.750 0.750 0.750

Summary:
Total magnetic moment: 0.000 μB per atom

***

Going by the energies, <one> is most stable and the next is 81 meV per atom up.

***

<one>
Compound: La6Ru2Au
Source: the Alexandria database
Functional: PBE-GGA
Structure: optimized geometry

a b c (Å): 5.281 5.880 9.291
angles (deg): 99.51 90.00 116.68
Fractional positions:
La 0.065 0.131 0.839
La 0.620 0.239 0.161
La 0.380 0.761 0.839
La 0.686 0.372 0.606
La 0.314 0.628 0.394
La 0.935 0.869 0.161
Ru 0.726 0.452 0.878
Ru 0.274 0.548 0.122
Au 0.000 0.000 0.500

Summary:
Total magnetic moment: 0.000 μB per atom

***

<two>
Compound: La6Ru2Au
Source: the Alexandria database
Functional: PBE-GGA
Structure: optimized geometry

a b c (Å): 6.510 9.600 9.600
angles (deg): 67.81 75.36 75.36
Fractional positions:
La 0.343 0.675 0.536
La 0.157 0.464 0.325
La 0.657 0.325 0.464
La 0.843 0.536 0.675
La 0.793 0.938 0.436
La 0.707 0.564 0.062
La 0.207 0.062 0.564
La 0.293 0.436 0.938
La 0.152 0.824 0.967
La 0.348 0.033 0.176
La 0.848 0.176 0.033
La 0.652 0.967 0.824
Ru 0.999 0.742 0.760
Ru 0.501 0.240 0.258
Ru 0.001 0.258 0.240
Ru 0.499 0.760 0.742
Au 0.250 0.255 0.745
Au 0.750 0.745 0.255

Summary:
Total magnetic moment: 0.000 μB per atom

***

Going by the energies, <one> is most stable and the next is 9 meV per atom up.

***

<one>
Compound: La2ZnRuAu
Source: the Alexandria database
Functional: PBE-GGA
Structure: optimized geometry

a b c (Å): 4.232 7.722 7.770
angles (deg): 108.15 90.00 90.00
Fractional positions:
La 0.750 0.876 0.646
La 0.750 0.723 0.039
La 0.250 0.124 0.354
La 0.250 0.277 0.961
Zn 0.250 0.553 0.657
Zn 0.750 0.447 0.343
Ru 0.250 0.873 0.894
Ru 0.750 0.127 0.106
Au 0.250 0.674 0.337
Au 0.750 0.326 0.663

Summary:
Total magnetic moment: 0.000 μB per atom

***

<two>
Compound: La2ZnRuAu
Source: the Alexandria database
Functional: PBE-GGA
Structure: optimized geometry

a b c (Å): 5.343 5.343 4.868
angles (deg): 90.00 90.00 90.00
Fractional positions:
Ru 0.000 0.000 0.000
Zn 0.000 0.000 0.500
Au 0.500 0.500 0.500
La 0.000 0.500 0.000
La 0.500 0.000 0.000

Summary:
Total magnetic moment: 0.000 μB per atom

***

Going by the energies, <one> is most stable and the next is 182 meV per atom up.

***

<one>
Compound: LaAu3S
Source: the Alexandria database
Functional: PBE-GGA
Structure: optimized geometry

a b c (Å): 4.903 4.903 4.903
angles (deg): 90.00 90.00 90.00
Fractional positions:
S 0.000 0.000 0.000
Au 0.000 0.500 0.000
Au 0.000 0.000 0.500
Au 0.500 0.000 0.000
La 0.500 0.500 0.500

Summary:
Total magnetic moment: 0.000 μB per atom

***

<two>
Compound: LaAu3S
Source: the Alexandria database
Functional: PBE-GGA
Structure: optimized geometry

a b c (Å): 5.729 5.729 5.729
angles (deg): 90.00 90.00 90.00
Last column: magnetic moment on the atom in μB.
Fractional positions:
S 0.500 0.500 0.500  1.00
Au 0.000 0.500 0.000  0.10
Au 0.000 0.000 0.500  0.04
Au 0.500 0.000 0.000  0.11
La 0.000 0.000 0.000  0.01

Summary:
Total magnetic moment: 0.400 μB per atom

***

Going by the energies, <one> is most stable and the next is 862 meV per atom up.